*w*
Compound: LuBeAs
Source: OQMD via LeMat-Bulk
Functional: GGA-PBE
Structure: optimized geometry

Lattice parameters (Å, degrees): 6.4110 6.4110 6.4110 90.00 90.00 90.00
Space group F-43m (No. 216)
Inequivalent atoms, fractional coordinates:
Lu 0.0000 0.0000 0.0000
Be 0.2500 0.2500 0.2500
As 0.2500 0.2500 0.7500

Computed properties:
Crystal system: cubic

*x*
Compound: LuBeAs
Source: OQMD via LeMat-Bulk
Functional: GGA-PBE
Structure: optimized geometry

Lattice parameters (Å, degrees): 5.9782 5.9782 5.9782 90.00 90.00 90.00
Space group F-43m (No. 216)
Inequivalent atoms, fractional coordinates:
Lu 0.0000 0.0000 0.0000
Be 0.2500 0.2500 0.7500
As 0.0000 0.0000 0.5000

Computed properties:
Crystal system: cubic

Q: Which of them is the least stable? A: *w*.

*w*
Compound: NaBeAsPd
Source: OQMD via LeMat-Bulk
Functional: GGA-PBE
Structure: optimized geometry

Lattice parameters (Å, degrees): 6.2592 6.2592 6.2592 90.00 90.00 90.00
Space group F-43m (No. 216)
Inequivalent atoms, fractional coordinates:
Na 0.0000 0.0000 0.0000
Be 0.2500 0.2500 0.7500
As 0.0000 0.0000 0.5000
Pd 0.2500 0.2500 0.2500

Computed properties:
Crystal system: cubic

*x*
Compound: NaBeAsPd
Source: OQMD via LeMat-Bulk
Functional: GGA-PBE
Structure: optimized geometry

Lattice parameters (Å, degrees): 6.2133 6.2133 6.2133 90.00 90.00 90.00
Space group F-43m (No. 216)
Inequivalent atoms, fractional coordinates:
Na 0.0000 0.0000 0.0000
Be 0.2500 0.2500 0.7500
As 0.2500 0.2500 0.2500
Pd 0.0000 0.0000 0.5000

Computed properties:
Crystal system: cubic

Q: Which of them is the least stable? A: *w*.

*w*
Compound: NaBeAsPt
Source: OQMD via LeMat-Bulk
Functional: GGA-PBE
Structure: optimized geometry

Lattice parameters (Å, degrees): 6.1829 6.1829 6.1829 90.00 90.00 90.00
Space group F-43m (No. 216)
Inequivalent atoms, fractional coordinates:
Na 0.0000 0.0000 0.0000
Be 0.2500 0.2500 0.7500
As 0.2500 0.2500 0.2500
Pt 0.0000 0.0000 0.5000

Computed properties:
Crystal system: cubic

*x*
Compound: NaBeAsPt
Source: OQMD via LeMat-Bulk
Functional: GGA-PBE
Structure: optimized geometry

Lattice parameters (Å, degrees): 6.2436 6.2436 6.2436 90.00 90.00 90.00
Space group F-43m (No. 216)
Inequivalent atoms, fractional coordinates:
Na 0.0000 0.0000 0.0000
Be 0.0000 0.0000 0.5000
As 0.2500 0.2500 0.7500
Pt 0.2500 0.2500 0.2500

Computed properties:
Crystal system: cubic

*y*
Compound: NaBeAsPt
Source: OQMD via LeMat-Bulk
Functional: GGA-PBE
Structure: optimized geometry

Lattice parameters (Å, degrees): 6.2791 6.2791 6.2791 90.00 90.00 90.00
Space group F-43m (No. 216)
Inequivalent atoms, fractional coordinates:
Na 0.0000 0.0000 0.0000
Be 0.2500 0.2500 0.2500
As 0.0000 0.0000 0.5000
Pt 0.2500 0.2500 0.7500

Computed properties:
Crystal system: cubic

Q: Which of them is the least stable? A: *y*.

*w*
Compound: BeNbTeAs
Source: OQMD via LeMat-Bulk
Functional: GGA-PBE
Structure: optimized geometry

Lattice parameters (Å, degrees): 6.6306 6.6306 6.6306 90.00 90.00 90.00
Space group F-43m (No. 216)
Inequivalent atoms, fractional coordinates:
Be 0.0000 0.0000 0.0000
Nb 0.0000 0.0000 0.5000
Te 0.2500 0.2500 0.7500
As 0.2500 0.2500 0.2500

Computed properties:
Crystal system: cubic

*x*
Compound: BeNbTeAs
Source: OQMD via LeMat-Bulk
Functional: GGA-PBE
Structure: optimized geometry

Lattice parameters (Å, degrees): 6.6171 6.6171 6.6171 90.00 90.00 90.00
Space group F-43m (No. 216)
Inequivalent atoms, fractional coordinates:
Be 0.0000 0.0000 0.0000
Nb 0.2500 0.2500 0.2500
Te 0.2500 0.2500 0.7500
As 0.0000 0.0000 0.5000

Computed properties:
Crystal system: cubic

*y*
Compound: BeNbTeAs
Source: OQMD via LeMat-Bulk
Functional: GGA-PBE
Structure: optimized geometry

Lattice parameters (Å, degrees): 6.6698 6.6698 6.6698 90.00 90.00 90.00
Space group F-43m (No. 216)
Inequivalent atoms, fractional coordinates:
Be 0.0000 0.0000 0.0000
Nb 0.2500 0.2500 0.2500
Te 0.0000 0.0000 0.5000
As 0.2500 0.2500 0.7500

Computed properties:
Crystal system: cubic

Q: Which of them is the least stable? A: *y*.

*w*
Compound: NdBeAsO
Source: OQMD via LeMat-Bulk
Functional: GGA-PBE
Structure: optimized geometry

Lattice parameters (Å, degrees): 3.9116 3.9116 8.7846 90.00 90.00 90.00
Space group P4/nmm (No. 129, origin choice 2)
Inequivalent atoms, fractional coordinates:
Nd 0.2500 0.2500 0.1408
Be 0.2500 0.7500 0.5000
As 0.2500 0.2500 0.6496
O 0.2500 0.7500 0.0000

Computed properties:
Crystal system: tetragonal

*x*
Compound: NdBeAsO
Source: OQMD via LeMat-Bulk
Functional: GGA-PBE
Structure: optimized geometry

Lattice parameters (Å, degrees): 3.8585 3.8585 9.8823 90.00 90.00 90.00
Space group P4/nmm (No. 129, origin choice 2)
Inequivalent atoms, fractional coordinates:
Nd 0.2500 0.7500 0.0000
Be 0.2500 0.2500 0.4889
As 0.2500 0.2500 0.2306
O 0.2500 0.7500 0.5000

Computed properties:
Crystal system: tetragonal

*y*
Compound: NdBeAsO
Source: OQMD via LeMat-Bulk
Functional: GGA-PBE
Structure: optimized geometry

Lattice parameters (Å, degrees): 4.2618 6.1643 5.7063 90.00 90.00 90.00
Space group Pmc2_1 (No. 26)
Inequivalent atoms, fractional coordinates:
Nd 0.0000 0.2490 0.0000
Be 0.5000 0.1060 0.6271
As 0.0000 0.2691 0.5089
O 0.5000 0.0962 0.9288

Computed properties:
Crystal system: orthorhombic

*z*
Compound: NdBeAsO
Source: OQMD via LeMat-Bulk
Functional: GGA-PBE
Structure: optimized geometry

Lattice parameters (Å, degrees): 3.1500 5.4685 7.2102 90.00 90.00 90.00
Space group Pmc2_1 (No. 26)
Inequivalent atoms, fractional coordinates:
Nd 0.0000 0.1658 0.0000
Be 0.5000 0.3041 0.3551
As 0.5000 0.3462 0.6684
O 0.0000 0.1907 0.3201

Computed properties:
Crystal system: orthorhombic

Q: Which of them is the least stable? A: *x*.

*w*
Compound: RbBeNiAs
Source: OQMD via LeMat-Bulk
Functional: GGA-PBE
Structure: optimized geometry

Lattice parameters (Å, degrees): 6.5888 6.5888 6.5888 90.00 90.00 90.00
Space group F-43m (No. 216)
Inequivalent atoms, fractional coordinates:
Rb 0.0000 0.0000 0.0000
Be 0.2500 0.2500 0.2500
Ni 0.2500 0.2500 0.7500
As 0.0000 0.0000 0.5000

Computed properties:
Crystal system: cubic

*x*
Compound: RbBeNiAs
Source: OQMD via LeMat-Bulk
Functional: GGA-PBE
Structure: optimized geometry

Lattice parameters (Å, degrees): 6.8385 6.8385 6.8385 90.00 90.00 90.00
Space group F-43m (No. 216)
Inequivalent atoms, fractional coordinates:
Rb 0.0000 0.0000 0.0000
Be 0.0000 0.0000 0.5000
Ni 0.2500 0.2500 0.7500
As 0.2500 0.2500 0.2500

Computed properties:
Crystal system: cubic

Q: Which of them is the least stable? A: *x*.